Entry A
First-principles (PBE) data for a geometry-optimized PrSmTmSc structure, as listed in the Alexandria database.

a = 7.925 Å, b = 7.925 Å, c = 7.925 Å
α = 90.00°, β = 90.00°, γ = 90.00°
Space group F-43m (No. 216)
Asymmetric unit:
Pr1 0.000 0.000 0.000 [4 per cell]
Sm1 0.000 0.000 0.500 [4 per cell]
Tm1 0.250 0.250 0.750 [4 per cell]
Sc1 0.250 0.250 0.250 [4 per cell]

---

Entry B
First-principles (PBE) data for a geometry-optimized PrSmTmSc structure, as listed in the Alexandria database.

a = 12.157 Å, b = 5.672 Å, c = 3.818 Å
α = 90.00°, β = 108.27°, γ = 90.00°
Space group Cm (No. 8)
Asymmetric unit:
Pr1 0.000 0.000 0.000 [2 per cell]
Sm1 0.276 0.000 0.778 [2 per cell]
Tm1 0.038 0.500 0.538 [2 per cell]
Sc1 0.265 0.500 0.265 [2 per cell]

---

entry A (0.005 eV/atom below the next structure)

---

Entry A
First-principles (PBE) data for a geometry-optimized PrScSn structure, as listed in the Alexandria database.

a = 4.024 Å, b = 4.024 Å, c = 10.025 Å
α = 90.00°, β = 90.00°, γ = 90.00°
Space group I4mm (No. 107)
Asymmetric unit:
Pr1 0.000 0.000 0.000 [2 per cell]
Sc1 0.000 0.000 0.306 [2 per cell]
Sn1 0.000 0.000 0.675 [2 per cell]

---

Entry B
First-principles (PBE) data for a geometry-optimized PrScSn structure, as listed in the Alexandria database.

a = 3.428 Å, b = 6.322 Å, c = 16.331 Å
α = 90.00°, β = 90.00°, γ = 90.00°
Space group Immm (No. 71)
Asymmetric unit:
Pr1 0.000 0.000 0.141 [4 per cell]
Sc1 0.000 0.000 0.340 [4 per cell]
Sn1 0.000 0.238 0.500 [4 per cell]

---

Entry C
First-principles (PBE) data for a geometry-optimized PrScSn structure, as listed in the Alexandria database.

a = 4.9421 Å, b = 4.9421 Å, c = 4.0987 Å
α = 90.00°, β = 90.00°, γ = 120.00°
Space group P3m1 (No. 156)
Asymmetric unit:
Pr1 0.0000 0.0000 0.0000 [1 per cell]
Sc1 0.6667 0.3333 0.4993 [1 per cell]
Sn1 0.3333 0.6667 0.5014 [1 per cell]

---

entry C (0.089 eV/atom below the next structure)

---

Entry A
First-principles (PBE) data for a geometry-optimized Pr2ScSn structure, as listed in the Alexandria database.

a = 4.259 Å, b = 4.259 Å, c = 6.535 Å
α = 90.00°, β = 90.00°, γ = 90.00°
Space group P4/mmm (No. 123)
Asymmetric unit:
Pr1 0.000 0.000 0.238 [2 per cell]
Sc1 0.500 0.500 0.500 [1 per cell]
Sn1 0.500 0.500 0.000 [1 per cell]

---

Entry B
First-principles (PBE) data for a geometry-optimized Pr2ScSn structure, as listed in the Alexandria database.

a = 7.759 Å, b = 7.759 Å, c = 7.759 Å
α = 90.00°, β = 90.00°, γ = 90.00°
Space group Fm-3m (No. 225)
Asymmetric unit:
Pr1 0.250 0.250 0.250 [8 per cell]
Sc1 0.000 0.000 0.000 [4 per cell]
Sn1 0.000 0.000 0.500 [4 per cell]

---

entry A (0.111 eV/atom below the next structure)